1.
First-principles (PBE) data for Pu6Pb3Au after structural relaxation, as listed in the Alexandria database.

abc: 11.4770 11.4770 11.4770
angles: 90.00 90.00 90.00
With the nearest neighbours (Å) after each atom.
Space group Fm-3m (No. 225)
Symmetry-distinct sites (fractional):
Pu  0.0000  0.0000  0.2446  1 Au 2.81, 1 Pb 2.93
Pb  0.0000  0.0000  0.5000  6 Pu 2.93
Pb  0.2500  0.2500  0.2500  12 Pu 4.06
Au  0.0000  0.0000  0.0000  6 Pu 2.81

Computed properties:
- Total moment: 35.050 μB/f.u.

2.
First-principles (PBE) data for TaP2Pt after structural relaxation, as listed in the Alexandria database.

abc: 3.4000 3.4490 10.6316
angles: 90.00 90.00 90.00
With the nearest neighbours (Å) after each atom.
Space group Imm2 (No. 44)
Symmetry-distinct sites (fractional):
Ta  0.0000  0.0000  0.0000  6 P 2.52-2.57
P  0.0000  0.0000  0.5808  4 Ta 2.57, 2 Pt 2.61
P  0.0000  0.5000  0.3246  4 Pt 2.50, 2 Ta 2.52
Pt  0.0000  0.5000  0.7653  6 P 2.50-2.61

Computed properties:
- Total moment: 0.000 μB/f.u.
- Energy above the most stable polymorph in this dataset: 119.4 meV per atom

3.
First-principles (PBE) data for Ti2CdCuSi after structural relaxation, as listed in the Alexandria database.

abc: 4.6057 4.6057 4.7016
angles: 90.00 90.00 90.00
With the nearest neighbours (Å) after each atom.
Space group P4/mmm (No. 123)
Symmetry-distinct sites (fractional):
Ti  0.0000  0.5000  0.0000  2 Cu 2.30
Cd  0.0000  0.0000  0.5000  2 Cu 2.35
Cu  0.0000  0.0000  0.0000  4 Ti 2.30, 2 Cd 2.35
Si  0.5000  0.5000  0.5000  4 Cd 3.26, 8 Ti 3.29

Computed properties:
- Total moment: 0.000 μB/f.u.
- Energy relative to the elements, uncorrected: 0.6508 eV/atom

4.
First-principles (PBE) data for Th5PaSe6 after structural relaxation, as listed in the Alexandria database.

abc: 7.2432 12.5975 7.2242
angles: 90.00 109.67 90.00
With the nearest neighbours (Å) after each atom.
Space group C2/m (No. 12)
Symmetry-distinct sites (fractional):
Th  0.0000  0.0000  0.0000  6 Se 2.96-3.00
Th  0.0000  0.1654  0.5000  6 Se 2.96-2.97
Th  0.0000  0.3292  0.0000  6 Se 2.96-2.98
Pa  0.0000  0.5000  0.5000  6 Se 2.90-2.92
Se  0.2426  0.5000  0.2493  1 Pa 2.92, 5 Th 2.97-3.00
Se  0.2448  0.3361  0.7449  1 Pa 2.90, 5 Th 2.96-2.98

Computed properties:
- Total moment: 0.009 μB/f.u.
- Energy relative to the elements, uncorrected: -1.4823 eV/atom

5.
First-principles (PBE) data for LaB2Rh5 after structural relaxation, as listed in the Alexandria database.

abc: 3.9275 5.9177 9.8883
angles: 90.00 90.00 90.00
With the nearest neighbours (Å) after each atom.
Space group Immm (No. 71)
Symmetry-distinct sites (fractional):
La  0.0000  0.0000  0.0000  10 Rh 2.96-2.98
B  0.0000  0.5000  0.2126  3 Rh 2.10-2.11
Rh  0.0000  0.2209  0.3458  1 B 2.11
Rh  0.0000  0.5000  0.0000  2 B 2.10

Computed properties:
- Total moment: 0.000 μB/f.u.

6.
First-principles (PBE) data for ZnBTe3 after structural relaxation, as listed in the Alexandria database.

abc: 4.8992 4.8992 4.8992
angles: 90.00 90.00 90.00
With the nearest neighbours (Å) after each atom.
Space group Pm-3m (No. 221)
Symmetry-distinct sites (fractional):
Zn  0.0000  0.0000  0.0000  12 Te 3.46
B  0.5000  0.5000  0.5000  6 Te 2.45
Te  0.0000  0.5000  0.5000  2 B 2.45

Computed properties:
- Total moment: 0.000 μB/f.u.
- Energy relative to the elements, uncorrected: 0.7158 eV/atom
- Energy above the most stable polymorph in this dataset: 0.0 meV per atom

7.
First-principles (PBE) data for AlSbTe2S after structural relaxation, as listed in the Alexandria database.

abc: 5.1933 5.1933 5.3856
angles: 90.00 90.00 90.00
With the nearest neighbours (Å) after each atom.
Space group P4/mmm (No. 123)
Symmetry-distinct sites (fractional):
Al  0.0000  0.0000  0.0000  4 Te 2.60, 2 Sb 2.69
Sb  0.0000  0.0000  0.5000  2 Al 2.69
Te  0.0000  0.5000  0.0000  2 Al 2.60
S  0.5000  0.5000  0.5000  4 Sb 3.67, 8 Te 3.74

Computed properties:
- Total moment: 0.463 μB/f.u.
- Energy relative to the elements, uncorrected: 0.6379 eV/atom
- Energy above the most stable polymorph in this dataset: 100.9 meV per atom

8.
First-principles (PBE) data for Tb4Pr3Se8 after structural relaxation, as listed in the Alexandria database.

abc: 11.7782 11.7850 8.3071
angles: 90.00 134.79 90.00
With the nearest neighbours (Å) after each atom.
Space group C2/m (No. 12)
Symmetry-distinct sites (fractional):
Tb  0.0000  0.0000  0.0000  6 Se 2.93-2.94
Tb  0.0000  0.0000  0.5000  6 Se 2.89
Tb  0.2500  0.2500  0.0000  6 Se 2.94-2.95
Pr  0.0000  0.5000  0.5000  6 Se 3.00
Pr  0.2500  0.2500  0.5000  6 Se 2.95
Se  0.0000  0.2452  0.5000  3 Tb 2.89-2.95, 3 Pr 2.95-3.00
Se  0.0000  0.2492  0.0000  3 Tb 2.94, 2 Pr 2.95
Se  0.2438  0.0000  0.4972  2 Tb 2.89-2.93, 3 Pr 2.95-3.00
Se  0.2451  0.0000  0.9908  4 Tb 2.89-2.95, 1 Pr 3.00

Computed properties:
- Total moment: 0.000 μB/f.u.
- Energy relative to the elements, uncorrected: -1.8505 eV/atom

9.
First-principles (PBE) data for Ac2TbPr after structural relaxation, as listed in the Alexandria database.

abc: 5.4435 5.4435 5.2656
angles: 90.00 90.00 90.00
With the nearest neighbours (Å) after each atom.
Space group P4/mmm (No. 123)
Symmetry-distinct sites (fractional):
Ac  0.0000  0.5000  0.0000  4 Tb 3.79, 4 Pr 3.79, 4 Ac 3.85
Tb  0.0000  0.0000  0.5000  8 Ac 3.79, 4 Pr 3.85
Pr  0.5000  0.5000  0.5000  8 Ac 3.79, 4 Tb 3.85

Computed properties:
- Total moment: 0.000 μB/f.u.
- Energy above the most stable polymorph in this dataset: 0.0 meV per atom

10.
First-principles (PBE) data for K2TaMo after structural relaxation, as listed in the Alexandria database.

abc: 3.9098 3.9098 12.7567
angles: 90.00 90.00 90.00
With the nearest neighbours (Å) after each atom.
Space group I4/mmm (No. 139)
Symmetry-distinct sites (fractional):
K  0.0000  0.5000  0.2500  4 K 2.76
Ta  0.0000  0.0000  0.0000  4 Mo 2.76
Mo  0.0000  0.0000  0.5000  4 Ta 2.76

Computed properties:
- Total moment: 0.450 μB/f.u.
- Energy above the most stable polymorph in this dataset: 708.2 meV per atom

11.
First-principles (PBE) data for GdErMgFe after structural relaxation, as listed in the Alexandria database.

abc: 7.1486 7.1486 7.1486
angles: 90.00 90.00 90.00
With the nearest neighbours (Å) after each atom.
Space group F-43m (No. 216)
Symmetry-distinct sites (fractional):
Gd  0.0000  0.0000  0.0000  4 Fe 3.10, 4 Mg 3.10
Er  0.0000  0.0000  0.5000  4 Fe 3.10, 4 Mg 3.10
Mg  0.2500  0.2500  0.7500  4 Gd 3.10, 4 Er 3.10
Fe  0.2500  0.2500  0.2500  4 Gd 3.10, 4 Er 3.10

Computed properties:
- Total moment: 5.738 μB/f.u.

12.
First-principles (PBE) data for KFeBW2 after structural relaxation, as listed in the Alexandria database.

abc: 4.3732 4.3732 4.0918
angles: 90.00 90.00 90.00
With the nearest neighbours (Å) after each atom.
Space group P4/mmm (No. 123)
Symmetry-distinct sites (fractional):
K  0.0000  0.0000  0.0000  8 W 2.99, 4 Fe 3.09
Fe  0.5000  0.5000  0.0000  2 B 2.05
B  0.5000  0.5000  0.5000  2 Fe 2.05, 4 W 2.19
W  0.0000  0.5000  0.5000  2 B 2.19

Computed properties:
- Total moment: 0.000 μB/f.u.

no.,electronic total energy (eV/atom)
1,-9.49
2,-7.59
3,-4.59
4,-7.11
5,-7.31
6,-2.76
7,-3.02
8,-5.90
9,-4.38
10,-4.74
11,-7.06
12,-7.01